# ErTh2Sc5, relaxed, DFT PBE-GGA
data_ErTh2Sc5
_space_group_name_H-M_alt 'I 4/m m m'
_space_group_IT_number 139
_space_group_name_Hall '-I 4 2'
_cell_length_a 6.866
_cell_length_b 6.866
_cell_length_c 9.187
_cell_angle_alpha 90.00
_cell_angle_beta 90.00
_cell_angle_gamma 90.00
loop_
_atom_site_label
_atom_site_fract_x
_atom_site_fract_y
_atom_site_fract_z
_atom_site_occupancy
Er1 0.000 0.000 0.000 1
Th1 0.000 0.500 0.000 1
Sc1 0.000 0.000 0.500 1
Sc2 0.250 0.250 0.250 1
# Uncorrected energy (eV per cell): -101.5
# D(E_F) (states/eV/atom): 1.575
# Energy relative to the lowest polymorph listed for this composition (meV/atom): 0
# Energy of formation (meV per atom): 37
# Total moment (μB per formula unit): 0.000